No. 1
# SrCa | the Alexandria database | meta-GGA SCAN | PBEsol geometry
# formation energy from the elements: 0.02 eV per atom
# excess energy over the best structure of this formula in the dataset: 0.0076 eV per atom
# total moment: 0.09 Bohr magnetons per cell
# calculated total energy: -15.949 eV per atom
data_SrCa
_chemical_formula_sum 'Sr2 Ca2'
_symmetry_space_group_name_H-M 'P 1'
_symmetry_Int_Tables_number 1
_cell_length_a 4.021
_cell_length_b 6.941
_cell_length_c 7.711
_cell_angle_alpha 116.13
_cell_angle_beta 105.12
_cell_angle_gamma 90.01
loop_
_symmetry_equiv_pos_as_xyz
'x,y,z'
loop_
_atom_site_label
_atom_site_type_symbol
_atom_site_fract_x
_atom_site_fract_y
_atom_site_fract_z
_atom_site_occupancy
Sr1 Sr 0.879 0.709 0.757 1
Ca1 Ca 0.371 0.203 0.741 1
Ca2 Ca 0.629 0.797 0.259 1
Sr2 Sr 0.121 0.291 0.243 1

No. 2
# Sr3Ca | the Alexandria database | meta-GGA SCAN | PBEsol geometry
# formation energy from the elements: 0.02 eV per atom
# total moment: 0.21 Bohr magnetons per cell
# calculated total energy: -19.106 eV per atom
data_Sr3Ca
_chemical_formula_sum 'Sr3 Ca1'
_symmetry_space_group_name_H-M 'P 1'
_symmetry_Int_Tables_number 1
_cell_length_a 4.103
_cell_length_b 7.100
_cell_length_c 7.904
_cell_angle_alpha 116.69
_cell_angle_beta 105.04
_cell_angle_gamma 90.00
loop_
_symmetry_equiv_pos_as_xyz
'x,y,z'
loop_
_atom_site_label
_atom_site_type_symbol
_atom_site_fract_x
_atom_site_fract_y
_atom_site_fract_z
_atom_site_occupancy
Sr1 Sr 0.747 0.080 0.493 1
Sr2 Sr 0.253 0.587 0.507 1
Sr3 Sr 0.500 0.499 0.000 1
Ca1 Ca 0.000 0.000 0.000 1

No. 3
# Sr3Ca | the Alexandria database | meta-GGA SCAN | PBEsol geometry
# formation energy from the elements: 0.01 eV per atom
# total moment: 3.46 Bohr magnetons per cell
# calculated total energy: -19.109 eV per atom
data_Sr3Ca
_chemical_formula_sum 'Sr18 Ca6'
_symmetry_space_group_name_H-M 'P 1'
_symmetry_Int_Tables_number 1
_cell_length_a 8.199
_cell_length_b 8.199
_cell_length_c 20.193
_cell_angle_alpha 90.00
_cell_angle_beta 90.00
_cell_angle_gamma 120.00
loop_
_symmetry_equiv_pos_as_xyz
'x,y,z'
loop_
_atom_site_label
_atom_site_type_symbol
_atom_site_fract_x
_atom_site_fract_y
_atom_site_fract_z
_atom_site_occupancy
Sr1 Sr 0.501 0.499 0.750 1
Ca1 Ca 0.667 0.333 0.583 1
Sr2 Sr 0.167 0.333 0.583 1
Sr3 Sr 0.333 0.167 0.417 1
Ca2 Ca 0.000 0.000 0.250 1
Sr4 Sr 0.167 0.333 0.917 1
Sr5 Sr 0.833 0.167 0.417 1
Ca3 Ca 0.000 0.000 0.750 1
Sr6 Sr 0.997 0.499 0.750 1
Ca4 Ca 0.667 0.333 0.917 1
Sr7 Sr 0.833 0.167 0.083 1
Sr8 Sr 0.667 0.833 0.583 1
Ca5 Ca 0.333 0.667 0.083 1
Sr9 Sr 0.499 0.501 0.250 1
Sr10 Sr 0.003 0.501 0.250 1
Ca6 Ca 0.333 0.667 0.417 1
Sr11 Sr 0.333 0.167 0.083 1
Sr12 Sr 0.833 0.667 0.083 1
Sr13 Sr 0.667 0.833 0.917 1
Sr14 Sr 0.833 0.667 0.417 1
Sr15 Sr 0.167 0.833 0.917 1
Sr16 Sr 0.501 0.003 0.750 1
Sr17 Sr 0.167 0.833 0.583 1
Sr18 Sr 0.499 0.997 0.250 1